# 1
Sm4SnHg2 | the Alexandria database | GGA-PBE | optimized geometry; ΔE_f = -0.36 eV/atom
1.0
-2.047 1.449 -4.662
-5.242 -0.082 -0.729
-2.945 8.688 0.988
Hg Sn Sm
2 1 4
Cartesian
-7.670 7.456 -3.331 Hg
-2.564 2.599 -1.072 Hg
0.000 0.000 0.000 Sn
-5.304 8.005 -1.194 Sm
-7.486 4.512 -4.327 Sm
-4.931 2.050 -3.209 Sm
-2.748 5.543 -0.076 Sm

***

# 2
Sm2Sn2Hg | the Alexandria database | GGA-PBE | optimized geometry; energy relative to the lowest polymorph listed for this composition = 0 meV/atom; ΔE_f = -0.61 eV/atom
1.0
4.774 0.000 0.000
2.387 5.838 -0.570
2.387 -0.139 9.964
Sn Hg Sm
4 2 4
Cartesian
2.387 0.813 1.262 Sn
7.161 4.886 8.131 Sn
7.161 4.019 3.833 Sn
2.387 1.680 5.561 Sn
4.774 3.997 2.131 Hg
4.774 1.703 7.262 Hg
4.774 4.474 5.946 Sm
2.387 4.180 0.193 Sm
4.774 1.226 3.447 Sm
7.161 1.520 9.200 Sm

***

# 3
Sm3SnHg2 | the Alexandria database | GGA-PBE | optimized geometry; energy relative to the lowest polymorph listed for this composition = 0 meV/atom; ΔE_f = -0.56 eV/atom
1.0
-0.776 3.318 1.600
-1.551 1.945 -4.786
-6.872 -3.466 3.857
Sm Hg Sn
3 2 1
Cartesian
-6.280 0.963 -0.613 Sm
-2.919 0.834 1.285 Sm
-1.163 2.631 -1.593 Sm
-3.454 0.099 -1.880 Hg
-4.968 -1.620 0.951 Hg
0.000 0.000 0.000 Sn

***

# 4
Sm3Sn3Hg | the Alexandria database | GGA-PBE | optimized geometry; energy relative to the lowest polymorph listed for this composition = 253 meV/atom; ΔE_f = -0.40 eV/atom
1.0
-5.313 -2.514 -2.173
4.446 -2.744 -7.696
-0.373 -5.614 7.407
Sn Sm Hg
6 6 2
Cartesian
-4.062 -5.947 3.259 Sn
-2.791 -4.600 -1.408 Sn
1.551 -6.272 -1.054 Sn
-1.401 -9.082 0.378 Sn
2.822 -4.925 -5.721 Sn
0.161 -1.790 -2.840 Sn
-1.208 -7.277 -2.181 Sm
-0.032 -3.595 -0.281 Sm
1.115 -7.700 1.665 Sm
0.127 -6.309 -6.566 Sm
-2.355 -3.172 -4.127 Sm
-1.367 -4.563 4.104 Sm
-2.751 -6.543 0.743 Hg
1.511 -4.329 -3.205 Hg

***

# 5
Sm4SnHg5 | the Alexandria database | GGA-PBE | optimized geometry; ΔE_f = -0.50 eV/atom
1.0
-2.678 1.912 -4.063
0.873 -5.602 -3.211
-5.540 -2.093 6.030
Sm Sn Hg
4 1 5
Cartesian
-3.656 -1.254 -1.544 Sm
-6.804 -0.878 0.707 Sm
-0.541 -4.905 -1.951 Sm
-3.688 -4.529 0.300 Sm
-1.339 0.956 -2.032 Sn
-6.258 -3.480 -0.877 Hg
-3.609 -4.216 -2.969 Hg
-1.087 -2.303 -0.367 Hg
-3.736 -1.567 1.725 Hg
-0.902 -1.845 -3.637 Hg

***

# 6
SrSmSnHg | the Alexandria database | GGA-PBE | optimized geometry; ΔE_f = -0.55 eV/atom
1.0
5.536 0.000 0.000
2.768 4.794 0.000
2.768 1.598 4.520
Sr Sn Hg Sm
1 1 1 1
Cartesian
0.000 0.000 0.000 Sr
2.768 1.598 1.130 Sn
8.304 4.794 3.390 Hg
5.536 3.196 2.260 Sm

***

# 7
SrSm2Sn2Hg2 | the Alexandria database | GGA-PBE | optimized geometry; ΔE_f = -0.38 eV/atom
1.0
-4.527 -1.914 1.390
-0.583 -2.071 4.632
-4.216 7.136 5.474
Hg Sn Sm Sr
2 2 2 1
Cartesian
-5.166 3.269 6.442 Hg
-4.160 -0.117 5.055 Hg
-7.067 2.609 8.723 Sn
-2.259 0.543 2.774 Sn
-3.216 3.766 4.094 Sm
-6.111 -0.613 7.403 Sm
0.000 0.000 0.000 Sr

***

# 8
TbSmSnHg | the Alexandria database | GGA-PBE | optimized geometry; energy relative to the lowest polymorph listed for this composition = 13 meV/atom; ΔE_f = -0.57 eV/atom
1.0
-2.424 2.595 -1.414
-2.946 -1.974 1.427
0.463 3.878 6.322
Sn Tb Hg Sm
1 1 1 1
Cartesian
0.400 3.347 5.456 Sn
-2.633 0.742 0.710 Tb
0.162 1.354 2.208 Hg
-2.405 2.654 3.827 Sm

***

# 9
TbSmSnHg | the Alexandria database | GGA-PBE | optimized geometry; energy relative to the lowest polymorph listed for this composition = 0 meV/atom; ΔE_f = -0.58 eV/atom
1.0
-0.718 4.091 3.366
-4.419 0.250 2.999
0.303 -0.795 5.278
Sn Tb Sm Hg
1 1 1 1
Cartesian
-3.625 2.659 8.732 Sn
0.000 0.000 0.000 Tb
-2.417 1.773 5.821 Sm
-1.208 0.886 2.911 Hg

***

# 10
Sm6Sn2HgTe3 | the Alexandria database | GGA-PBE | optimized geometry; uncorrected formation energy = -12.3 eV per formula unit
1.0
4.436 0.000 0.000
0.000 8.996 -0.024
-2.218 -2.952 9.421
Sm Hg Sn Te
6 1 2 3
Cartesian
2.218 4.144 3.185 Sm
0.000 6.289 6.266 Sm
2.218 -0.245 3.132 Sm
0.000 6.727 0.015 Sm
2.218 -0.683 9.383 Sm
0.000 1.901 6.212 Sm
2.218 0.000 0.000 Hg
2.218 4.102 6.341 Sn
0.000 1.942 3.057 Sn
0.000 6.456 3.152 Te
2.218 4.498 -0.012 Te
2.218 -0.412 6.245 Te

***

# 11
Sm4SnHgTe2 | the Alexandria database | GGA-PBE | optimized geometry; uncorrected formation energy = -7.9 eV per formula unit
1.0
4.390 0.000 0.000
0.000 8.049 -0.331
0.000 2.653 6.930
Sm Sn Hg Te
4 1 1 2
Cartesian
4.390 2.697 1.621 Sm
2.195 3.999 5.117 Sm
2.195 6.704 1.481 Sm
0.000 8.005 4.977 Sm
2.195 4.024 -0.166 Sn
0.000 5.351 3.299 Hg
0.000 2.653 6.930 Te
2.195 1.327 3.465 Te

***

# 12
Sm2ThSn2Hg2 | the Alexandria database | GGA-PBE | optimized geometry; ΔE_f = -0.27 eV/atom
1.0
5.010 0.000 0.000
2.505 4.339 0.000
2.505 1.446 9.195
Th Hg Sm Sn
1 2 2 2
Cartesian
0.000 0.000 0.000 Th
5.010 2.893 6.593 Hg
5.010 2.893 2.602 Hg
7.515 4.339 3.559 Sm
2.505 1.446 5.636 Sm
7.515 4.339 7.512 Sn
2.505 1.446 1.683 Sn